Entry from Alexandria via LeMat-Bulk: a relaxed YNbGa2O8 crystal (PBE-GGA).

Unit cell a=5.8446 b=5.8446 c=5.8446 alpha=108.07 beta=108.07 gamma=112.30
Last column: nearest neighbours and their distance in Å.
Fractional positions:
Y 0.0000 0.0000 0.0000  8 O 2.24-2.49
Nb 0.7500 0.2500 0.5000  8 O 2.07-2.22
Ga 0.2500 0.7500 0.5000  4 O 1.84
Ga 0.5000 0.5000 0.0000  4 O 1.85
O 0.0360 0.3610 0.3250  1 Ga 1.84
O 0.0360 0.7110 0.6750  1 Ga 1.84
O 0.1101 0.3152 0.7949  1 Ga 1.85, 1 Nb 2.07
O 0.2890 0.9640 0.3250  1 Ga 1.84
O 0.5203 0.3152 0.2051  1 Ga 1.85, 1 Nb 2.07
O 0.6390 0.9640 0.6750  1 Ga 1.84
O 0.6848 0.4797 0.7949  1 Ga 1.85, 1 Nb 2.07
O 0.6848 0.8899 0.2051  1 Ga 1.85, 1 Nb 2.07

Values from the calculation:
total energy	-7.1770	eV per atom
raw formation energy	-1989	meV/atom
crystal system	tetragonal



Entry from Alexandria via LeMat-Bulk: a relaxed NbZn2GaO crystal (PBE-GGA).

Unit cell a=5.1246 b=5.1246 c=5.0960 alpha=90.00 beta=90.00 gamma=90.00
Last column: nearest neighbours and their distance in Å.
Fractional positions:
Nb 0.0000 0.0000 0.0000  2 Ga 2.55, 4 Zn 2.56
Zn 0.0000 0.5000 0.0000  2 Nb 2.56
Zn 0.5000 0.0000 0.0000  2 Nb 2.56
Ga 0.0000 0.0000 0.5000  2 Nb 2.55
O 0.5000 0.5000 0.5000  8 Zn 3.61, 4 Ga 3.62

Values from the calculation:
total energy	-2.7889	eV per atom
raw formation energy	1332	meV/atom
crystal system	tetragonal